18
Lattice="-7.921 1.451 5.650 5.631 -5.048 -6.291 6.316 -5.870 10.364" Properties=species:S:1:pos:R:3 comment="PBE Ba2DyInSe5, optimized geometry" e_form_raw_ev_per_atom=-1.632 pbc="T T T"
In 0.871 -4.006 4.860
Se 3.986 -5.680 3.126
Se 0.178 -4.300 8.983
Se -3.115 -0.854 1.419
Se -1.359 -2.746 5.758
Ba 5.166 -5.338 -3.006
Ba -2.017 -3.313 11.288
Ba -4.160 -1.243 7.331
Se -6.900 0.817 5.561
In 5.515 -7.653 8.733
Se 8.411 -7.947 0.035
Se 0.588 -3.387 2.398
Dy -4.948 -0.026 3.319
Se 3.647 -6.274 7.667
Dy 6.045 -6.719 1.597
Se 2.677 -4.078 -1.183
Ba 8.989 -8.970 3.709
Se 6.898 -8.127 6.447


6
Lattice="4.718 0.000 0.000 -2.359 4.086 0.000 0.000 0.000 9.934" Properties=species:S:1:pos:R:3 comment="PBE BaDyIn2Sn2, optimized geometry" formation_enthalpy_0k_mev_per_atom=-449 pbc="T T T"
In 2.359 1.362 2.216
Sn 2.359 1.362 6.603
Ba 0.000 0.000 0.000
In 0.000 2.724 7.718
Dy 0.000 0.000 4.967
Sn 0.000 2.724 3.331


8
Lattice="4.559 0.000 0.000 0.000 8.073 -0.221 0.000 2.791 7.817" Properties=species:S:1:pos:R:3 comment="PBE BaDyIn2Te4, optimized geometry" e_form_raw_ev_per_atom=-0.932 pbc="T T T"
Ba 2.279 6.828 7.706
In 0.000 2.791 7.817
Te 2.279 6.726 2.077
Te 4.559 2.790 2.177
Dy 0.000 5.432 3.798
Te 2.279 4.138 5.518
Te 0.000 8.074 5.418
In 2.279 1.395 3.908


18
Lattice="-9.705 -0.574 -4.085 7.746 -2.697 6.629 -4.494 9.914 9.285" Properties=species:S:1:pos:R:3 comment="PBE Ba2DyInTe5, optimized geometry" e_form_raw_ev_per_atom=-1.301 pbc="T T T"
Ba -11.291 7.288 4.803
In -2.514 3.844 7.136
Te -10.822 3.743 0.606
Te -5.765 3.625 4.349
In -2.278 -0.868 1.259
Te -0.507 4.251 9.206
Dy -0.316 7.483 13.509
Ba -8.270 0.986 -0.973
Te -1.989 0.711 3.513
Te 1.127 1.286 6.652
Te -2.931 7.963 12.112
Te 2.603 6.793 14.870
Te -4.910 0.104 0.481
Te -8.384 7.127 6.835
Te -4.353 5.682 8.084
Ba 4.219 0.717 8.303
Ba 2.398 4.371 11.598
Dy -8.225 3.762 2.631


Copy entry 4 word for word.
18
Lattice="-9.705 -0.574 -4.085 7.746 -2.697 6.629 -4.494 9.914 9.285" Properties=species:S:1:pos:R:3 comment="PBE Ba2DyInTe5, optimized geometry" e_form_raw_ev_per_atom=-1.301 pbc="T T T"
Ba -11.291 7.288 4.803
In -2.514 3.844 7.136
Te -10.822 3.743 0.606
Te -5.765 3.625 4.349
In -2.278 -0.868 1.259
Te -0.507 4.251 9.206
Dy -0.316 7.483 13.509
Ba -8.270 0.986 -0.973
Te -1.989 0.711 3.513
Te 1.127 1.286 6.652
Te -2.931 7.963 12.112
Te 2.603 6.793 14.870
Te -4.910 0.104 0.481
Te -8.384 7.127 6.835
Te -4.353 5.682 8.084
Ba 4.219 0.717 8.303
Ba 2.398 4.371 11.598
Dy -8.225 3.762 2.631